# PBE-GGA BaDyCl5, optimized geometry
data_BaDyCl5
_chemical_formula_sum 'Ba4 Dy4 Cl20'
_space_group_name_H-M_alt 'C 1 2/c 1'
_space_group_IT_number 15
_cell_length_a 5.558
_cell_length_b 19.381
_cell_length_c 6.881
_cell_angle_alpha 90.00
_cell_angle_beta 93.13
_cell_angle_gamma 90.00
loop_
_space_group_symop_operation_xyz
'x,y,z'
'-x,-y,-z'
'-x,y,-z+1/2'
'x,-y,z+1/2'
'x+1/2,y+1/2,z'
'-x+1/2,-y+1/2,-z'
'-x+1/2,y+1/2,-z+1/2'
'x+1/2,-y+1/2,z+1/2'
loop_
_atom_site_label
_atom_site_type_symbol
_atom_site_fract_x
_atom_site_fract_y
_atom_site_fract_z
Ba1 Ba 0.000 0.172 0.250
Dy1 Dy 0.000 0.424 0.250
Cl1 Cl 0.000 0.126 0.750
Cl2 Cl 0.008 0.313 0.000
Cl3 Cl 0.241 0.469 0.595
# - Density of states at the Fermi level: 0.00 states/eV/cell
# - DFT total energy: -4.62 eV/atom
# - Crystal system: monoclinic
# - Magnetization: 0.0 μB per formula unit



# PBE-GGA CrNiAuC, optimized geometry
data_CrNiAuC
_chemical_formula_sum 'Cr2 Ni2 Au2 C2'
_space_group_name_H-M_alt 'I m m 2'
_space_group_IT_number 44
_cell_length_a 3.093
_cell_length_b 3.770
_cell_length_c 8.689
_cell_angle_alpha 90.00
_cell_angle_beta 90.00
_cell_angle_gamma 90.00
loop_
_space_group_symop_operation_xyz
'x,y,z'
'-x,-y,z'
'-x,y,z'
'x,-y,z'
'x+1/2,y+1/2,z+1/2'
'-x+1/2,-y+1/2,z+1/2'
'-x+1/2,y+1/2,z+1/2'
'x+1/2,-y+1/2,z+1/2'
loop_
_atom_site_label
_atom_site_type_symbol
_atom_site_fract_x
_atom_site_fract_y
_atom_site_fract_z
Cr1 Cr 0.000 0.000 0.000
Ni1 Ni 0.000 0.000 0.631
Au1 Au 0.000 0.000 0.327
C1 C 0.000 0.500 0.626
# - E_form: 39 kJ/mol of atoms
# - Density of states at the Fermi level: 6.97 states/eV/cell
# - DFT total energy: -6.57 eV/atom
# - Crystal system: orthorhombic
# - Magnetization: 1.9 μB per formula unit



# PBE-GGA Ru2PbCl, optimized geometry
data_Ru2PbCl
_chemical_formula_sum 'Ru8 Pb4 Cl4'
_space_group_name_H-M_alt 'F m -3 m'
_space_group_IT_number 225
_space_group_name_Hall '-F 4 2 3'
_cell_length_a 6.528
_cell_length_b 6.528
_cell_length_c 6.528
_cell_angle_alpha 90.00
_cell_angle_beta 90.00
_cell_angle_gamma 90.00
loop_
_atom_site_label
_atom_site_type_symbol
_atom_site_fract_x
_atom_site_fract_y
_atom_site_fract_z
Ru1 Ru 0.250 0.250 0.250
Pb1 Pb 0.000 0.000 0.000
Cl1 Cl 0.000 0.000 0.500
# - Density of states at the Fermi level: 24.38 states/eV/cell
# - DFT total energy: -5.14 eV/atom
# - Crystal system: cubic
# - Magnetization: 0.0 μB per formula unit



# PBE-GGA Pm2Y8Sc, optimized geometry
data_Pm2Y8Sc
_chemical_formula_sum 'Pm4 Y16 Sc2'
_space_group_name_H-M_alt 'C 1 2/m 1'
_space_group_IT_number 12
_cell_length_a 8.946
_cell_length_b 15.889
_cell_length_c 5.865
_cell_angle_alpha 90.00
_cell_angle_beta 121.08
_cell_angle_gamma 90.00
loop_
_space_group_symop_operation_xyz
'x,y,z'
'-x,-y,-z'
'-x,y,-z'
'x,-y,z'
'x+1/2,y+1/2,z'
'-x+1/2,-y+1/2,-z'
'-x+1/2,y+1/2,-z'
'x+1/2,-y+1/2,z'
loop_
_atom_site_label
_atom_site_type_symbol
_atom_site_fract_x
_atom_site_fract_y
_atom_site_fract_z
Pm1 Pm 0.000 0.195 0.000
Y1 Y 0.000 0.295 0.500
Y2 Y 0.090 0.000 0.301
Y3 Y 0.213 0.387 0.161
Sc1 Sc 0.000 0.500 0.500
# - E_form: 16 kJ/mol of atoms
# - Density of states at the Fermi level: 32.84 states/eV/cell
# - DFT total energy: -5.97 eV/atom
# - Crystal system: monoclinic
# - Magnetization: 0.0 μB per formula unit



# PBE-GGA V2NiBrN, optimized geometry
data_V2NiBrN
_chemical_formula_sum 'V2 Ni1 Br1 N1'
_space_group_name_H-M_alt 'P 4/m m m'
_space_group_IT_number 123
_space_group_name_Hall '-P 4 2'
_cell_length_a 4.486
_cell_length_b 4.486
_cell_length_c 4.380
_cell_angle_alpha 90.00
_cell_angle_beta 90.00
_cell_angle_gamma 90.00
loop_
_atom_site_label
_atom_site_type_symbol
_atom_site_fract_x
_atom_site_fract_y
_atom_site_fract_z
V1 V 0.000 0.500 0.000
Ni1 Ni 0.000 0.000 0.000
Br1 Br 0.000 0.000 0.500
N1 N 0.500 0.500 0.500
# - Density of states at the Fermi level: 9.39 states/eV/cell
# - DFT total energy: -4.87 eV/atom
# - Crystal system: tetragonal
# - Magnetization: 0.8 μB per formula unit



# PBE-GGA Ti6Ga2Mo, optimized geometry
data_Ti6Ga2Mo
_chemical_formula_sum 'Ti12 Ga4 Mo2'
_space_group_name_H-M_alt 'A m m 2'
_space_group_IT_number 38
_cell_length_a 3.206
_cell_length_b 12.584
_cell_length_c 7.512
_cell_angle_alpha 90.00
_cell_angle_beta 90.00
_cell_angle_gamma 90.00
loop_
_space_group_symop_operation_xyz
'x,y,z'
'-x,-y,z'
'-x,y,z'
'x,-y,z'
'x,y+1/2,z+1/2'
'-x,-y+1/2,z+1/2'
'-x,y+1/2,z+1/2'
'x,-y+1/2,z+1/2'
loop_
_atom_site_label
_atom_site_type_symbol
_atom_site_fract_x
_atom_site_fract_y
_atom_site_fract_z
Ti1 Ti 0.000 0.000 0.000
Ti2 Ti 0.000 0.129 0.576
Ti3 Ti 0.500 0.000 0.325
Ti4 Ti 0.500 0.193 0.917
Ga1 Ga 0.000 0.171 0.219
Mo1 Mo 0.500 0.000 0.736
# - E_form: -19 kJ/mol of atoms
# - Density of states at the Fermi level: 23.20 states/eV/cell
# - DFT total energy: -7.33 eV/atom
# - Crystal system: orthorhombic
# - Magnetization: 0.0 μB per formula unit



# PBE-GGA PrThAgIr, optimized geometry
data_PrThAgIr
_chemical_formula_sum 'Pr4 Th4 Ag4 Ir4'
_space_group_name_H-M_alt 'F -4 3 m'
_space_group_IT_number 216
_space_group_name_Hall 'F -4 2 3'
_cell_length_a 7.309
_cell_length_b 7.309
_cell_length_c 7.309
_cell_angle_alpha 90.00
_cell_angle_beta 90.00
_cell_angle_gamma 90.00
loop_
_atom_site_label
_atom_site_type_symbol
_atom_site_fract_x
_atom_site_fract_y
_atom_site_fract_z
Pr1 Pr 0.000 0.000 0.000
Th1 Th 0.000 0.000 0.500
Ag1 Ag 0.250 0.250 0.750
Ir1 Ir 0.250 0.250 0.250
# - E_form: -38 kJ/mol of atoms
# - Density of states at the Fermi level: 16.09 states/eV/cell
# - DFT total energy: -6.37 eV/atom
# - Crystal system: cubic
# - Magnetization: 0.0 μB per formula unit



# PBE-GGA CaSnSe2N, optimized geometry
data_CaSnSe2N
_chemical_formula_sum 'Ca1 Sn1 Se2 N1'
_space_group_name_H-M_alt 'P 4/m m m'
_space_group_IT_number 123
_space_group_name_Hall '-P 4 2'
_cell_length_a 5.370
_cell_length_b 5.370
_cell_length_c 4.067
_cell_angle_alpha 90.00
_cell_angle_beta 90.00
_cell_angle_gamma 90.00
loop_
_atom_site_label
_atom_site_type_symbol
_atom_site_fract_x
_atom_site_fract_y
_atom_site_fract_z
Ca1 Ca 0.000 0.000 0.000
Sn1 Sn 0.500 0.500 0.500
Se1 Se 0.000 0.500 0.500
N1 N 0.500 0.500 0.000
# - Density of states at the Fermi level: 1.26 states/eV/cell
# - DFT total energy: -4.41 eV/atom
# - Crystal system: tetragonal
# - Magnetization: 1.1 μB per formula unit



# PBE-GGA Tb6Pr2Y3Er, optimized geometry
data_Tb6Pr2Y3Er
_chemical_formula_sum 'Tb12 Pr4 Y6 Er2'
_space_group_name_H-M_alt 'C 1 2/m 1'
_space_group_IT_number 12
_cell_length_a 6.211
_cell_length_b 10.752
_cell_length_c 11.887
_cell_angle_alpha 90.00
_cell_angle_beta 99.98
_cell_angle_gamma 90.00
loop_
_space_group_symop_operation_xyz
'x,y,z'
'-x,-y,-z'
'-x,y,-z'
'x,-y,z'
'x+1/2,y+1/2,z'
'-x+1/2,-y+1/2,-z'
'-x+1/2,y+1/2,-z'
'x+1/2,-y+1/2,z'
loop_
_atom_site_label
_atom_site_type_symbol
_atom_site_fract_x
_atom_site_fract_y
_atom_site_fract_z
Tb1 Tb 0.248 0.000 0.248
Tb2 Tb 0.250 0.166 0.752
Pr1 Pr 0.000 0.333 0.500
Y1 Y 0.000 0.166 0.000
Y2 Y 0.000 0.500 0.000
Er1 Er 0.000 0.000 0.500
# - E_form: 2 kJ/mol of atoms
# - Density of states at the Fermi level: 31.67 states/eV/cell
# - DFT total energy: -5.09 eV/atom
# - Crystal system: monoclinic
# - Magnetization: 0.0 μB per formula unit



# PBE-GGA AcPmHoMg, optimized geometry
data_AcPmHoMg
_chemical_formula_sum 'Ac4 Pm4 Ho4 Mg4'
_space_group_name_H-M_alt 'F -4 3 m'
_space_group_IT_number 216
_space_group_name_Hall 'F -4 2 3'
_cell_length_a 8.118
_cell_length_b 8.118
_cell_length_c 8.118
_cell_angle_alpha 90.00
_cell_angle_beta 90.00
_cell_angle_gamma 90.00
loop_
_atom_site_label
_atom_site_type_symbol
_atom_site_fract_x
_atom_site_fract_y
_atom_site_fract_z
Ac1 Ac 0.000 0.000 0.000
Pm1 Pm 0.000 0.000 0.500
Ho1 Ho 0.250 0.250 0.750
Mg1 Mg 0.250 0.250 0.250
# - E_form: 4 kJ/mol of atoms
# - Density of states at the Fermi level: 19.03 states/eV/cell
# - DFT total energy: -3.72 eV/atom
# - Crystal system: cubic
# - Magnetization: 0.0 μB per formula unit



# PBE-GGA Hf2ZnCu3, optimized geometry
data_Hf2ZnCu3
_chemical_formula_sum 'Hf16 Zn8 Cu24'
_space_group_name_H-M_alt 'F m m m'
_space_group_IT_number 69
_space_group_name_Hall '-F 2 2'
_cell_length_a 5.656
_cell_length_b 8.712
_cell_length_c 15.061
_cell_angle_alpha 90.00
_cell_angle_beta 90.00
_cell_angle_gamma 90.00
loop_
_atom_site_label
_atom_site_type_symbol
_atom_site_fract_x
_atom_site_fract_y
_atom_site_fract_z
Hf1 Hf 0.247 0.000 0.000
Hf2 Hf 0.250 0.250 0.250
Zn1 Zn 0.000 0.000 0.333
Cu1 Cu 0.000 0.000 0.166
Cu2 Cu 0.000 0.250 0.083
# - E_form: -16 kJ/mol of atoms
# - Density of states at the Fermi level: 23.29 states/eV/cell
# - DFT total energy: -5.74 eV/atom
# - Crystal system: orthorhombic
# - Magnetization: 0.0 μB per formula unit



# PBE-GGA SrAlTc2, optimized geometry
data_SrAlTc2
_chemical_formula_sum 'Sr1 Al1 Tc2'
_space_group_name_H-M_alt 'P 1 2/m 1'
_space_group_IT_number 10
_cell_length_a 3.476
_cell_length_b 4.692
_cell_length_c 5.821
_cell_angle_alpha 90.00
_cell_angle_beta 98.86
_cell_angle_gamma 90.00
loop_
_space_group_symop_operation_xyz
'x,y,z'
'-x,-y,-z'
'-x,y,-z'
'x,-y,z'
loop_
_atom_site_label
_atom_site_type_symbol
_atom_site_fract_x
_atom_site_fract_y
_atom_site_fract_z
Sr1 Sr 0.000 0.000 0.000
Al1 Al 0.500 0.000 0.500
Tc1 Tc 0.293 0.500 0.636
# - E_form: 42 kJ/mol of atoms
# - Density of states at the Fermi level: 4.61 states/eV/cell
# - DFT total energy: -6.11 eV/atom
# - Crystal system: monoclinic
# - Magnetization: 0.0 μB per formula unit



# PBE-GGA TbY2In3, optimized geometry
data_TbY2In3
_chemical_formula_sum 'Tb1 Y2 In3'
_space_group_name_H-M_alt 'P 4/m m m'
_space_group_IT_number 123
_space_group_name_Hall '-P 4 2'
_cell_length_a 3.751
_cell_length_b 3.751
_cell_length_c 11.398
_cell_angle_alpha 90.00
_cell_angle_beta 90.00
_cell_angle_gamma 90.00
loop_
_atom_site_label
_atom_site_type_symbol
_atom_site_fract_x
_atom_site_fract_y
_atom_site_fract_z
Tb1 Tb 0.000 0.000 0.000
Y1 Y 0.000 0.000 0.334
In1 In 0.500 0.500 0.168
In2 In 0.500 0.500 0.500
# - E_form: -47 kJ/mol of atoms
# - Density of states at the Fermi level: 3.33 states/eV/cell
# - DFT total energy: -4.79 eV/atom
# - Crystal system: tetragonal
# - Magnetization: 0.0 μB per formula unit



# PBE-GGA Mg4Ru5, optimized geometry
data_Mg4Ru5
_chemical_formula_sum 'Mg8 Ru10'
_space_group_name_H-M_alt 'I 4/m m m'
_space_group_IT_number 139
_space_group_name_Hall '-I 4 2'
_cell_length_a 9.739
_cell_length_b 9.739
_cell_length_c 2.965
_cell_angle_alpha 90.00
_cell_angle_beta 90.00
_cell_angle_gamma 90.00
loop_
_atom_site_label
_atom_site_type_symbol
_atom_site_fract_x
_atom_site_fract_y
_atom_site_fract_z
Mg1 Mg 0.000 0.315 0.000
Ru1 Ru 0.000 0.000 0.000
Ru2 Ru 0.169 0.169 0.500
# - E_form: 21 kJ/mol of atoms
# - Density of states at the Fermi level: 20.75 states/eV/cell
# - DFT total energy: -5.65 eV/atom
# - Crystal system: tetragonal
# - Magnetization: 0.7 μB per formula unit



# PBE-GGA Pm7DyHo12, optimized geometry
data_Pm7DyHo12
_chemical_formula_sum 'Pm14 Dy2 Ho24'
_space_group_name_H-M_alt 'I m -3 m'
_space_group_IT_number 229
_space_group_name_Hall '-I 4 2 3'
_cell_length_a 11.259
_cell_length_b 11.259
_cell_length_c 11.259
_cell_angle_alpha 90.00
_cell_angle_beta 90.00
_cell_angle_gamma 90.00
loop_
_atom_site_label
_atom_site_type_symbol
_atom_site_fract_x
_atom_site_fract_y
_atom_site_fract_z
Pm1 Pm 0.000 0.000 0.500
Pm2 Pm 0.250 0.250 0.250
Dy1 Dy 0.000 0.000 0.000
Ho1 Ho 0.000 0.247 0.247
# - E_form: 63 kJ/mol of atoms
# - Density of states at the Fermi level: 54.35 states/eV/cell
# - DFT total energy: -3.98 eV/atom
# - Crystal system: cubic
# - Magnetization: 0.0 μB per formula unit



# PBE-GGA Mg3Si2Pd2, optimized geometry
data_Mg3Si2Pd2
_chemical_formula_sum 'Mg12 Si8 Pd8'
_space_group_name_H-M_alt 'P b c m'
_space_group_IT_number 57
_cell_length_a 5.299
_cell_length_b 7.149
_cell_length_c 12.839
_cell_angle_alpha 90.00
_cell_angle_beta 90.00
_cell_angle_gamma 90.00
loop_
_space_group_symop_operation_xyz
'x,y,z'
'-x,-y,-z'
'-x,-y,z+1/2'
'x,y,-z+1/2'
'x,-y+1/2,-z'
'-x,y+1/2,z'
'-x,y+1/2,-z+1/2'
'x,-y+1/2,z+1/2'
loop_
_atom_site_label
_atom_site_type_symbol
_atom_site_fract_x
_atom_site_fract_y
_atom_site_fract_z
Mg1 Mg 0.130 0.103 0.101
Mg2 Mg 0.364 0.745 0.750
Si1 Si 0.129 0.103 0.750
Si2 Si 0.327 0.750 0.000
Pd1 Pd 0.370 0.045 0.594
# - Density of states at the Fermi level: 7.28 states/eV/cell
# - DFT total energy: -4.24 eV/atom
# - Crystal system: orthorhombic
# - Magnetization: 0.0 μB per formula unit



# PBE-GGA ZnOs, optimized geometry
data_ZnOs
_chemical_formula_sum 'Zn1 Os1'
_space_group_name_H-M_alt 'P 4/m m m'
_space_group_IT_number 123
_space_group_name_Hall '-P 4 2'
_cell_length_a 2.663
_cell_length_b 2.663
_cell_length_c 4.057
_cell_angle_alpha 90.00
_cell_angle_beta 90.00
_cell_angle_gamma 90.00
loop_
_atom_site_label
_atom_site_type_symbol
_atom_site_fract_x
_atom_site_fract_y
_atom_site_fract_z
Zn1 Zn 0.000 0.000 0.000
Os1 Os 0.500 0.500 0.500
# - E_form: 45 kJ/mol of atoms
# - Density of states at the Fermi level: 2.30 states/eV/cell
# - DFT total energy: -5.79 eV/atom
# - Crystal system: tetragonal
# - Magnetization: 0.0 μB per formula unit



# PBE-GGA SrHf2W, optimized geometry
data_SrHf2W
_chemical_formula_sum 'Sr4 Hf8 W4'
_space_group_name_H-M_alt 'I -4 2 d'
_space_group_IT_number 122
_space_group_name_Hall 'I -4 2bw'
_cell_length_a 5.648
_cell_length_b 5.648
_cell_length_c 17.551
_cell_angle_alpha 90.00
_cell_angle_beta 90.00
_cell_angle_gamma 90.00
loop_
_atom_site_label
_atom_site_type_symbol
_atom_site_fract_x
_atom_site_fract_y
_atom_site_fract_z
Sr1 Sr 0.000 0.000 0.000
Hf1 Hf 0.001 0.750 0.625
W1 W 0.000 0.000 0.500
# - E_form: 138 kJ/mol of atoms
# - Density of states at the Fermi level: 9.92 states/eV/cell
# - DFT total energy: -7.21 eV/atom
# - Crystal system: tetragonal
# - Magnetization: 0.0 μB per formula unit



# PBE-GGA Pr5Sn2N, optimized geometry
data_Pr5Sn2N
_chemical_formula_sum 'Pr20 Sn8 N4'
_space_group_name_H-M_alt 'C m c m'
_space_group_IT_number 63
_space_group_name_Hall '-C 2c 2'
_cell_length_a 6.434
_cell_length_b 13.122
_cell_length_c 12.086
_cell_angle_alpha 90.00
_cell_angle_beta 90.00
_cell_angle_gamma 90.00
loop_
_atom_site_label
_atom_site_type_symbol
_atom_site_fract_x
_atom_site_fract_y
_atom_site_fract_z
Pr1 Pr 0.000 0.069 0.111
Pr2 Pr 0.000 0.334 0.102
Pr3 Pr 0.000 0.385 0.750
Sn1 Sn 0.000 0.179 0.621
N1 N 0.000 0.194 0.250
# - Density of states at the Fermi level: 37.72 states/eV/cell
# - DFT total energy: -5.36 eV/atom
# - Crystal system: orthorhombic
# - Magnetization: 0.0 μB per formula unit



# PBE-GGA Tb2Pr2Dy4Er, optimized geometry
data_Tb2Pr2Dy4Er
_chemical_formula_sum 'Tb4 Pr4 Dy8 Er2'
_space_group_name_H-M_alt 'C 1 2/m 1'
_space_group_IT_number 12
_cell_length_a 18.732
_cell_length_b 3.614
_cell_length_c 9.595
_cell_angle_alpha 90.00
_cell_angle_beta 115.67
_cell_angle_gamma 90.00
loop_
_space_group_symop_operation_xyz
'x,y,z'
'-x,-y,-z'
'-x,y,-z'
'x,-y,z'
'x+1/2,y+1/2,z'
'-x+1/2,-y+1/2,-z'
'-x+1/2,y+1/2,-z'
'x+1/2,-y+1/2,z'
loop_
_atom_site_label
_atom_site_type_symbol
_atom_site_fract_x
_atom_site_fract_y
_atom_site_fract_z
Tb1 Tb 0.147 0.000 0.162
Pr1 Pr 0.165 0.500 0.499
Dy1 Dy 0.019 0.500 0.834
Dy2 Dy 0.185 0.000 0.836
Er1 Er 0.000 0.000 0.500
# - E_form: 0 kJ/mol of atoms
# - Density of states at the Fermi level: 24.15 states/eV/cell
# - DFT total energy: -4.64 eV/atom
# - Crystal system: monoclinic
# - Magnetization: 0.0 μB per formula unit